Below is a relaxed structure of BaZrMo2, with properties calculated at the PBE level.

Structure (POSCAR):
```
BaZrMo2
1.0
3.2256 0.0000 0.0000
0.0000 4.4511 0.0000
-0.0264 0.0000 7.2677
Ba Zr Mo
1 1 2
Direct
0.0000 0.0000 0.0000
0.5000 0.0000 0.5000
0.0015 0.5000 0.6543
0.9985 0.5000 0.3457
```

Results
The value obtained for the formation energy is 2.47 eV per formula unit. As for the energy above the most stable polymorph in this dataset: 169 meV per atom. Its total magnetic moment is 0.0 μB/cell. The value obtained for the density of states at the Fermi level is 3.66 states/eV per cell.

Below is a relaxed structure of BaZrMo2, with properties calculated at the PBE level.

Structure (POSCAR):
```
BaZrMo2
1.0
3.7729 0.0000 0.0000
0.0000 3.7729 0.0000
0.0000 0.0000 7.3714
Ba Zr Mo
1 1 2
Direct
0.0000 0.0000 0.0000
0.0000 0.0000 0.5000
0.5000 0.5000 0.3446
0.5000 0.5000 0.6554
```

Results
The value obtained for the formation energy is 2.28 eV per formula unit. As for the energy above the most stable polymorph in this dataset: 120 meV per atom. Its total magnetic moment is 0.0 μB/cell. The value obtained for the density of states at the Fermi level is 3.13 states/eV per cell.

Below is a relaxed structure of BaZrMo2, with properties calculated at the PBE level.

Structure (POSCAR):
```
BaZrMo2
1.0
1.7454 -2.4900 0.0000
1.7454 2.4900 0.0000
0.0000 0.0000 10.0990
Ba Zr Mo
1 1 2
Direct
0.0000 0.0000 0.0000
0.0000 0.0000 0.5000
0.5000 0.5000 0.2844
0.5000 0.5000 0.7156
```

Results
The value obtained for the formation energy is 3.34 eV per formula unit. As for the energy above the most stable polymorph in this dataset: 384 meV per atom. Its total magnetic moment is 0.0 μB/cell. The value obtained for the density of states at the Fermi level is 5.72 states/eV per cell.

Below is a relaxed structure of BaZrMo2, with properties calculated at the PBE level.

Structure (POSCAR):
```
BaZrMo2
1.0
3.3656 0.0000 0.0000
0.0000 4.7427 0.0000
0.0000 0.0000 5.2307
Ba Zr Mo
1 1 2
Direct
0.0000 0.0000 0.0000
0.5000 0.0000 0.5000
0.0000 0.5000 0.5000
0.5000 0.5000 0.0000
```

Results
The value obtained for the formation energy is 4.53 eV per formula unit. As for the energy above the most stable polymorph in this dataset: 682 meV per atom. Its total magnetic moment is 0.0 μB/cell. The value obtained for the density of states at the Fermi level is 4.75 states/eV per cell.